# Be17TcIr | Alexandria via LeMat-Bulk | PBE | relaxed
# - Formation enthalpy at 0 K: -0.201 eV per atom
# - E_tot: -4.547 eV per atom
# - Density of states at the Fermi level: 11.2 states/eV per cell
data_Be17TcIr
_cell_length_a 7.2306
_cell_length_b 7.2306
_cell_length_c 10.5335
_cell_angle_alpha 90.00
_cell_angle_beta 90.00
_cell_angle_gamma 120.00
_space_group_name_H-M_alt 'R 3 m'
_space_group_IT_number 160
_space_group_name_Hall 'R 3 -2"'
loop_
_atom_site_label
_atom_site_type_symbol
_atom_site_fract_x
_atom_site_fract_y
_atom_site_fract_z
_atom_site_occupancy
Be1 Be 0.0000 0.0000 0.0493 1
Be2 Be 0.0000 0.0000 0.2559 1
Be3 Be 0.0038 0.5019 0.3049 1
Be4 Be 0.0314 0.3631 0.8204 1
Be5 Be 0.1704 0.3408 0.9898 1
Be6 Be 0.1712 0.3423 0.3333 1
Tc1 Tc 0.0000 0.0000 0.4950 1
Ir1 Ir 0.0000 0.0000 0.8113 1



# LaIn3 | Alexandria via LeMat-Bulk | PBE | relaxed
# - Formation enthalpy at 0 K: -0.426 eV per atom
# - E_tot: -3.712 eV per atom
# - Density of states at the Fermi level: 10.2 states/eV per cell
data_LaIn3
_cell_length_a 4.705
_cell_length_b 4.705
_cell_length_c 20.011
_cell_angle_alpha 90.00
_cell_angle_beta 90.00
_cell_angle_gamma 90.00
_space_group_name_H-M_alt 'I 4/m m m'
_space_group_IT_number 139
_space_group_name_Hall '-I 4 2'
loop_
_atom_site_label
_atom_site_type_symbol
_atom_site_fract_x
_atom_site_fract_y
_atom_site_fract_z
_atom_site_occupancy
La1 La 0.000 0.000 0.120 1
In1 In 0.000 0.000 0.375 1
In2 In 0.000 0.500 0.000 1
In3 In 0.000 0.500 0.250 1



# NaTlPdRh2 | Alexandria via LeMat-Bulk | PBE | relaxed
# - Formation enthalpy at 0 K: 1.418 eV per atom
# - E_tot: -3.298 eV per atom
# - Density of states at the Fermi level: 7.5 states/eV per cell
data_NaTlPdRh2
_cell_length_a 4.592
_cell_length_b 4.592
_cell_length_c 4.925
_cell_angle_alpha 90.00
_cell_angle_beta 90.00
_cell_angle_gamma 90.00
_space_group_name_H-M_alt 'P 4/m m m'
_space_group_IT_number 123
_space_group_name_Hall '-P 4 2'
loop_
_atom_site_label
_atom_site_type_symbol
_atom_site_fract_x
_atom_site_fract_y
_atom_site_fract_z
_atom_site_occupancy
Na1 Na 0.000 0.000 0.000 1
Tl1 Tl 0.000 0.000 0.500 1
Pd1 Pd 0.500 0.500 0.500 1
Rh1 Rh 0.000 0.500 0.000 1